A relaxed K2LaCo crystal. Source: the Alexandria database, functional PBE-GGA.

energy of formation	297	meV/atom
raw total energy	-13.038	eV/f.u.
ΔE to the lowest computed polymorph	0.033	eV/atom
magnetic moment	0.00	μB/f.u.
DOS at the Fermi energy	0.8010	states/eV/atom
symmetry	P4mm

Cell and atoms, written as POSCAR:
```
K2LaCo
1.0
3.787 0.000 0.000
0.000 3.787 0.000
0.000 0.000 11.054
K Co La
2 1 1
direct
0.000 0.000 0.933 K
0.500 0.500 0.301 K
0.500 0.500 0.655 Co
0.000 0.000 0.611 La
```

=====

A relaxed K2LaCo crystal. Source: the Alexandria database, functional PBE-GGA.

energy of formation	766	meV/atom
raw total energy	-11.162	eV/f.u.
ΔE to the lowest computed polymorph	0.502	eV/atom
magnetic moment	0.37	μB/f.u.
DOS at the Fermi energy	1.4307	states/eV/atom
symmetry	P2/m

Cell and atoms, written as POSCAR:
```
K2LaCo
1.0
6.733 0.000 0.000
0.000 4.472 0.009
0.000 0.554 4.457
Co K La
1 2 1
direct
0.500 0.750 0.750 Co
0.000 0.973 0.973 K
0.000 0.527 0.527 K
0.500 0.250 0.250 La
```

=====

A relaxed KLa2Co crystal. Source: the Alexandria database, functional PBE-GGA.

energy of formation	699	meV/atom
raw total energy	-15.261	eV/f.u.
ΔE to the lowest computed polymorph	0.729	eV/atom
magnetic moment	0.01	μB/f.u.
DOS at the Fermi energy	1.0609	states/eV/atom
symmetry	Pmmm

Cell and atoms, written as POSCAR:
```
KLa2Co
1.0
4.640 0.000 0.000
0.000 5.644 0.000
0.000 0.000 4.332
K La Co
1 2 1
direct
0.000 0.500 0.500 K
0.500 0.500 0.000 La
0.000 0.000 0.000 La
0.500 0.000 0.500 Co
```

=====

A relaxed K2LaCo crystal. Source: the Alexandria database, functional PBE-GGA.

energy of formation	283	meV/atom
raw total energy	-13.095	eV/f.u.
ΔE to the lowest computed polymorph	0.019	eV/atom
magnetic moment	0.00	μB/f.u.
DOS at the Fermi energy	0.7053	states/eV/atom
symmetry	C2/m

Cell and atoms, written as POSCAR:
```
K2LaCo
1.0
11.219 0.019 -0.024
10.602 3.669 -0.024
0.696 0.118 3.901
Co K La
1 2 1
direct
0.250 0.250 0.250 Co
0.594 0.594 0.403 K
0.906 0.906 0.097 K
0.750 0.750 0.750 La
```

=====

A relaxed K2LaCo crystal. Source: the Alexandria database, functional PBE-GGA.

energy of formation	745	meV/atom
raw total energy	-11.248	eV/f.u.
ΔE to the lowest computed polymorph	0.480	eV/atom
magnetic moment	0.24	μB/f.u.
DOS at the Fermi energy	2.0781	states/eV/atom
symmetry	P4/mmm

Cell and atoms, written as POSCAR:
```
K2LaCo
1.0
-1.430 -0.291 6.514
2.354 -3.749 0.349
3.643 2.372 0.906
Co La K
1 1 2
direct
0.500 0.000 0.500 Co
0.500 0.500 0.000 La
0.000 0.500 0.500 K
0.000 0.000 0.000 K
```

=====

A relaxed KLa2Co2 crystal. Source: the Alexandria database, functional PBE-GGA.

energy of formation	303	meV/atom
raw total energy	-23.651	eV/f.u.
magnetic moment	0.00	μB/f.u.
DOS at the Fermi energy	0.9500	states/eV/atom
symmetry	P4/mbm

Cell and atoms, written as POSCAR:
```
KLa2Co2
1.0
-7.280 -3.479 -2.413
-0.114 -4.637 7.029
-1.798 2.595 1.683
Co La K
4 4 2
direct
0.879 0.621 0.000 Co
0.379 0.879 0.000 Co
0.621 0.121 0.000 Co
0.121 0.379 0.000 Co
0.141 0.641 0.500 La
0.641 0.859 0.500 La
0.359 0.141 0.500 La
0.859 0.359 0.500 La
0.500 0.500 0.000 K
0.000 0.000 0.000 K
```

=====

A relaxed KLa4Co crystal. Source: the Alexandria database, functional PBE-GGA.

energy of formation	837	meV/atom
raw total energy	-22.889	eV/f.u.
magnetic moment	1.51	μB/f.u.
DOS at the Fermi energy	2.0816	states/eV/atom
symmetry	F-43m

Cell and atoms, written as POSCAR:
```
KLa4Co
1.0
0.000 4.743 4.743
4.743 0.000 4.743
4.743 4.743 0.000
La K Co
4 1 1
direct
0.380 0.380 0.859 La
0.380 0.859 0.380 La
0.380 0.380 0.380 La
0.859 0.380 0.380 La
0.000 0.000 0.000 K
0.750 0.750 0.750 Co
```

=====

A relaxed KLaCo4 crystal. Source: the Alexandria database, functional PBE-GGA.

energy of formation	446	meV/atom
raw total energy	-31.772	eV/f.u.
magnetic moment	4.09	μB/f.u.
DOS at the Fermi energy	1.6348	states/eV/atom
symmetry	F-43m

Cell and atoms, written as POSCAR:
```
KLaCo4
1.0
3.259 -2.607 3.116
2.487 2.493 3.838
-1.302 -0.899 4.962
Co K La
4 1 1
direct
0.373 0.373 0.880 Co
0.880 0.373 0.373 Co
0.373 0.373 0.373 Co
0.373 0.880 0.373 Co
0.750 0.750 0.750 K
0.000 0.000 0.000 La
```

=====

A relaxed K2LaCo crystal. Source: the Alexandria database, functional PBE-GGA.

energy of formation	265	meV/atom
raw total energy	-13.170	eV/f.u.
ΔE to the lowest computed polymorph	0.000	eV/atom
magnetic moment	0.00	μB/f.u.
DOS at the Fermi energy	0.6211	states/eV/atom
symmetry	Pm

Cell and atoms, written as POSCAR:
```
K2LaCo
1.0
-1.263 3.227 1.471
-2.928 -1.978 1.825
4.883 -2.463 9.600
Co K La
1 2 1
direct
0.500 0.933 0.633 Co
0.500 0.180 0.311 K
0.000 0.868 0.935 K
0.000 0.519 0.621 La
```

=====

A relaxed K2LaCo crystal. Source: the Alexandria database, functional PBE-GGA.

energy of formation	928	meV/atom
raw total energy	-10.517	eV/f.u.
ΔE to the lowest computed polymorph	0.663	eV/atom
magnetic moment	1.17	μB/f.u.
DOS at the Fermi energy	1.2926	states/eV/atom
symmetry	Pmmm

Cell and atoms, written as POSCAR:
```
K2LaCo
1.0
3.609 0.000 0.000
0.000 6.446 0.000
0.000 0.000 6.051
K Co La
2 1 1
direct
0.000 0.000 0.986 K
0.000 0.000 0.514 K
0.500 0.500 0.750 Co
0.500 0.500 0.250 La
```

=====

A relaxed KLa2Co crystal. Source: the Alexandria database, functional PBE-GGA.

energy of formation	715	meV/atom
raw total energy	-15.200	eV/f.u.
ΔE to the lowest computed polymorph	0.744	eV/atom
magnetic moment	0.00	μB/f.u.
DOS at the Fermi energy	1.1596	states/eV/atom
symmetry	I-4m2

Cell and atoms, written as POSCAR:
```
KLa2Co
1.0
6.487 0.729 0.000
2.882 5.857 0.000
-4.685 -3.293 3.134
La K Co
2 1 1
direct
0.000 0.000 0.000 La
0.250 0.750 0.500 La
0.750 0.250 0.500 K
0.500 0.500 0.000 Co
```

=====

A relaxed K2LaCo crystal. Source: the Alexandria database, functional PBE-GGA.

energy of formation	880	meV/atom
raw total energy	-10.707	eV/f.u.
ΔE to the lowest computed polymorph	0.616	eV/atom
magnetic moment	0.04	μB/f.u.
DOS at the Fermi energy	1.5119	states/eV/atom
symmetry	F-43m

Cell and atoms, written as POSCAR:
```
K2LaCo
1.0
5.663 0.000 0.000
2.831 4.904 0.000
2.831 1.635 4.624
K Co La
2 1 1
direct
0.250 0.250 0.250 K
0.000 0.000 0.000 K
0.500 0.500 0.500 Co
0.750 0.750 0.750 La
```